(1)
Density functional theory data (PBE) for crystalline Ho3GaRu at its relaxed geometry.

a = 9.1724 Å, b = 8.4980 Å, c = 5.6819 Å
α = 77.82°, β = 64.91°, γ = 37.27°
With the nearest neighbours (Å) after each atom.
Positions (direct):
Ho (0.1953, 0.1953, 0.8047)  4 Ru 2.97, 2 Ho 3.28, 2 Ga 3.32
Ho (0.2091, 0.5775, 0.4225)  2 Ru 2.83, 2 Ga 3.10
Ho (0.4225, 0.7909, 0.2091)  2 Ru 2.83, 2 Ga 3.10
Ho (0.5775, 0.2091, 0.7909)  2 Ru 2.83, 2 Ga 3.10
Ho (0.7909, 0.4225, 0.5775)  2 Ru 2.83, 2 Ga 3.10
Ho (0.8047, 0.8047, 0.1953)  4 Ru 2.97, 2 Ho 3.28, 2 Ga 3.32
Ga (0.1952, 0.8048, 0.8048)  1 Ga 2.49
Ga (0.8048, 0.1952, 0.1952)  1 Ga 2.49
Ru (0.2500, 0.2500, 0.2500)  8 Ho 2.83-2.97
Ru (0.7500, 0.7500, 0.7500)  8 Ho 2.83-2.97

Values from the calculation:
Symmetry: No. 69
Offset from the most stable computed form (meV per atom): 0.0


(2)
Density functional theory data (PBE) for crystalline Ho7Ga2Ru2 at its relaxed geometry.

a = 6.6023 Å, b = 6.6023 Å, c = 7.0077 Å
α = 90.00°, β = 90.00°, γ = 109.73°
With the nearest neighbours (Å) after each atom.
Positions (direct):
Ho (0.0000, 0.0000, 0.0000)  2 Ru 3.24
Ho (0.0000, 0.5000, 0.2624)  2 Ru 2.70
Ho (0.0000, 0.5000, 0.7376)  2 Ru 2.70
Ho (0.5000, 0.0000, 0.2624)  2 Ru 2.70
Ho (0.5000, 0.0000, 0.7376)  2 Ru 2.70
Ho (0.5000, 0.5000, 0.2535)  2 Ru 2.79, 2 Ga 3.06
Ho (0.5000, 0.5000, 0.7465)  2 Ru 2.79, 2 Ga 3.06
Ga (0.1684, 0.1684, 0.5000)  1 Ga 2.56
Ga (0.8316, 0.8316, 0.5000)  1 Ga 2.56
Ru (0.3005, 0.6995, 0.0000)  6 Ho 2.70-2.79
Ru (0.6995, 0.3005, 0.0000)  6 Ho 2.70-2.79

Values from the calculation:
Symmetry: No. 65


(3)
Density functional theory data (PBE) for crystalline HoGaRu2 at its relaxed geometry.

a = 5.5143 Å, b = 6.6087 Å, c = 9.1377 Å
α = 90.00°, β = 90.00°, γ = 90.00°
With the nearest neighbours (Å) after each atom.
Positions (direct):
Ho (0.2500, 0.0000, 0.0956)  3 Ga 3.09-3.15, 2 Ho 3.26
Ho (0.2500, 0.5000, 0.2761)  4 Ru 2.76-2.88, 2 Ga 2.81
Ho (0.7500, 0.0000, 0.9044)  3 Ga 3.09-3.15, 2 Ho 3.26
Ho (0.7500, 0.5000, 0.7239)  4 Ru 2.76-2.88, 2 Ga 2.81
Ga (0.2500, 0.0000, 0.7511)  4 Ru 2.68-2.79
Ga (0.2500, 0.5000, 0.7841)  4 Ru 2.41-2.49
Ga (0.7500, 0.0000, 0.2489)  4 Ru 2.68-2.79
Ga (0.7500, 0.5000, 0.2159)  4 Ru 2.41-2.49
Ru (0.0000, 0.0000, 0.5000)  6 Ru 2.53-2.76, 2 Ga 2.68
Ru (0.0000, 0.5000, 0.0000)  2 Ga 2.41
Ru (0.2500, 0.3140, 0.5469)  3 Ru 2.46-2.53, 1 Ga 2.49
Ru (0.2500, 0.6860, 0.5469)  3 Ru 2.46-2.53, 1 Ga 2.49
Ru (0.5000, 0.0000, 0.5000)  6 Ru 2.53-2.76, 2 Ga 2.68
Ru (0.5000, 0.5000, 0.0000)  2 Ga 2.41
Ru (0.7500, 0.3140, 0.4531)  3 Ru 2.46-2.53, 1 Ga 2.49
Ru (0.7500, 0.6860, 0.4531)  3 Ru 2.46-2.53, 1 Ga 2.49

Values from the calculation:
Symmetry: No. 51


(4)
Density functional theory data (PBE) for crystalline Ho3Ga3Ru2 at its relaxed geometry.

a = 7.5310 Å, b = 15.2522 Å, c = 5.7194 Å
α = 90.00°, β = 90.00°, γ = 90.00°
With the nearest neighbours (Å) after each atom.
Positions (direct):
Ho (0.0369, 0.1084, 0.1082)  2 Ru 2.86-3.00, 5 Ga 3.07-3.18
Ho (0.0369, 0.3916, 0.1082)  2 Ru 2.86-3.00, 5 Ga 3.07-3.18
Ho (0.1697, 0.2500, 0.6301)  4 Ru 2.95-3.11, 5 Ga 2.97-3.29
Ho (0.3303, 0.7500, 0.1301)  4 Ru 2.95-3.11, 5 Ga 2.97-3.29
Ho (0.4631, 0.6084, 0.6082)  2 Ru 2.86-3.00, 5 Ga 3.07-3.18
Ho (0.4631, 0.8916, 0.6082)  2 Ru 2.86-3.00, 5 Ga 3.07-3.18
Ho (0.5369, 0.1084, 0.3918)  2 Ru 2.86-3.00, 5 Ga 3.07-3.18
Ho (0.5369, 0.3916, 0.3918)  2 Ru 2.86-3.00, 5 Ga 3.07-3.18
Ho (0.6697, 0.2500, 0.8699)  4 Ru 2.95-3.11, 5 Ga 2.97-3.29
Ho (0.8303, 0.7500, 0.3699)  4 Ru 2.95-3.11, 5 Ga 2.97-3.29
Ho (0.9631, 0.6084, 0.8918)  2 Ru 2.86-3.00, 5 Ga 3.07-3.18
Ho (0.9631, 0.8916, 0.8918)  2 Ru 2.86-3.00, 5 Ga 3.07-3.18
Ga (0.1668, 0.0350, 0.5895)  3 Ru 2.48-2.56
Ga (0.1668, 0.4650, 0.5895)  3 Ru 2.48-2.56
Ga (0.1738, 0.7500, 0.6253)  2 Ru 2.62
Ga (0.3262, 0.2500, 0.1253)  2 Ru 2.62
Ga (0.3332, 0.5350, 0.0895)  3 Ru 2.48-2.56
Ga (0.3332, 0.9650, 0.0895)  3 Ru 2.48-2.56
Ga (0.6668, 0.0350, 0.9105)  3 Ru 2.48-2.56
Ga (0.6668, 0.4650, 0.9105)  3 Ru 2.48-2.56
Ga (0.6738, 0.7500, 0.8747)  2 Ru 2.62
Ga (0.8262, 0.2500, 0.3747)  2 Ru 2.62
Ga (0.8332, 0.5350, 0.4105)  3 Ru 2.48-2.56
Ga (0.8332, 0.9650, 0.4105)  3 Ru 2.48-2.56
Ru (0.1301, 0.6096, 0.3678)  4 Ga 2.48-2.62
Ru (0.1301, 0.8904, 0.3678)  4 Ga 2.48-2.62
Ru (0.3699, 0.1096, 0.8678)  4 Ga 2.48-2.62
Ru (0.3699, 0.3904, 0.8678)  4 Ga 2.48-2.62
Ru (0.6301, 0.6096, 0.1322)  4 Ga 2.48-2.62
Ru (0.6301, 0.8904, 0.1322)  4 Ga 2.48-2.62
Ru (0.8699, 0.1096, 0.6322)  4 Ga 2.48-2.62
Ru (0.8699, 0.3904, 0.6322)  4 Ga 2.48-2.62

Values from the calculation:
Symmetry: No. 62


(5)
Density functional theory data (PBE) for crystalline Ho12GaRu6 at its relaxed geometry.

a = 8.4344 Å, b = 8.4344 Å, c = 8.4344 Å
α = 109.47°, β = 109.47°, γ = 109.47°
With the nearest neighbours (Å) after each atom.
Positions (direct):
Ho (0.0997, 0.2934, 0.8062)  1 Ru 2.67
Ho (0.1938, 0.4872, 0.2934)  1 Ru 2.67
Ho (0.1938, 0.9003, 0.7066)  1 Ru 2.67
Ho (0.2934, 0.1938, 0.4872)  1 Ru 2.67
Ho (0.2934, 0.8062, 0.0997)  1 Ru 2.67
Ho (0.4872, 0.2934, 0.1938)  1 Ru 2.67
Ho (0.5128, 0.7066, 0.8062)  1 Ru 2.67
Ho (0.7066, 0.1938, 0.9003)  1 Ru 2.67
Ho (0.7066, 0.8062, 0.5128)  1 Ru 2.67
Ho (0.8062, 0.0997, 0.2934)  1 Ru 2.67
Ho (0.8062, 0.5128, 0.7066)  1 Ru 2.67
Ho (0.9003, 0.7066, 0.1938)  1 Ru 2.67
Ga (0.0000, 0.0000, 0.0000)  12 Ho 3.42
Ru (0.1255, 0.5000, 0.6255)  1 Ru 2.44, 2 Ho 2.67
Ru (0.3745, 0.8745, 0.5000)  1 Ru 2.44, 2 Ho 2.67
Ru (0.5000, 0.3745, 0.8745)  1 Ru 2.44, 2 Ho 2.67
Ru (0.5000, 0.6255, 0.1255)  1 Ru 2.44, 2 Ho 2.67
Ru (0.6255, 0.1255, 0.5000)  1 Ru 2.44, 2 Ho 2.67
Ru (0.8745, 0.5000, 0.3745)  1 Ru 2.44, 2 Ho 2.67

Values from the calculation:
Symmetry: No. 204


(6)
Density functional theory data (PBE) for crystalline Ho3Ga3Ru at its relaxed geometry.

a = 5.8294 Å, b = 5.8294 Å, c = 14.2580 Å
α = 108.24°, β = 108.24°, γ = 41.94°
With the nearest neighbours (Å) after each atom.
Positions (direct):
Ho (0.0314, 0.0314, 0.3817)  6 Ga 2.99-3.19, 4 Ru 3.01-3.30
Ho (0.1091, 0.1091, 0.9234)  7 Ga 3.01-3.16
Ho (0.2418, 0.2418, 0.2370)  6 Ga 2.99-3.20, 2 Ru 3.14
Ho (0.7582, 0.7582, 0.7630)  6 Ga 2.99-3.20, 2 Ru 3.14
Ho (0.8909, 0.8909, 0.0766)  7 Ga 3.01-3.16
Ho (0.9686, 0.9686, 0.6183)  6 Ga 2.99-3.19, 4 Ru 3.01-3.30
Ga (0.3649, 0.3649, 0.4588)  3 Ru 2.49-2.60, 1 Ga 2.78
Ga (0.3909, 0.3909, 0.9242)  2 Ga 2.62
Ga (0.4663, 0.4663, 0.7678)  1 Ga 2.62, 1 Ru 2.66
Ga (0.5337, 0.5337, 0.2322)  1 Ga 2.62, 1 Ru 2.66
Ga (0.6091, 0.6091, 0.0758)  2 Ga 2.62
Ga (0.6351, 0.6351, 0.5412)  3 Ru 2.49-2.60, 1 Ga 2.78
Ru (0.2629, 0.2629, 0.5996)  4 Ga 2.49-2.66
Ru (0.7371, 0.7371, 0.4004)  4 Ga 2.49-2.66

Values from the calculation:
Symmetry: No. 12


In order of appearance, E_form = -0.46 -0.29 0.24 -0.58 -0.30 -0.60 eV/atom.